Entry from the Alexandria database: a geometry-optimized MnPbNF2 structure (GGA+U).

Geometry as POSCAR:
```
MnPbNF2
1.0
-4.2630 0.9955 1.1528
1.0930 -0.3867 4.3759
1.0501 4.3546 0.1226
Pb F N Mn
1 2 1 1
Direct
0.0000 0.0000 0.0000 Pb
0.5000 0.0000 0.0000 F
0.0000 0.5000 0.0000 F
0.0000 0.0000 0.5000 N
0.5000 0.5000 0.5000 Mn
```

Results
ΔE to the lowest computed polymorph in eV/atom: 0.681
Size of the total moment in μB per cell: 5.1
Density of states at the Fermi level in states/eV/cell: 0.83
Mass density in g cm⁻³: 5.7